# 1
The following is a GGA-PBE calculation of crystalline BaCdPb at its relaxed geometry, from the Alexandria database.

a b c (Å): 4.025 5.153 10.299
angles (deg): 90.00 90.00 90.00
Element x y z (fractional)
Ba 0.000 0.000 0.000
Ba 0.500 0.500 0.500
Cd 0.000 0.000 0.666
Cd 0.500 0.500 0.166
Pb 0.000 0.000 0.337
Pb 0.500 0.500 0.837

**V**: 214 Å³ per cell
**SG**: Imm2 (44)
**E_form**: -0.214 eV/atom
**Total moment**: 0.000 μB per atom
**Density of states at the Fermi level**: 1.93 states/eV/f.u.
**Theoretical density**: 7.10 g cm⁻³

# 2
The following is a GGA-PBE calculation of crystalline Na2CoPd at its relaxed geometry, from the Alexandria database.

a b c (Å): 6.728 6.728 6.728
angles (deg): 90.00 90.00 90.00
Element x y z (fractional)
Na 0.250 0.250 0.250
Na 0.250 0.250 0.750
Na 0.250 0.750 0.250
Na 0.250 0.750 0.750
Na 0.750 0.250 0.250
Na 0.750 0.250 0.750
Na 0.750 0.750 0.250
Na 0.750 0.750 0.750
Co 0.000 0.000 0.000
Co 0.000 0.500 0.500
Co 0.500 0.000 0.500
Co 0.500 0.500 0.000
Pd 0.000 0.000 0.500
Pd 0.000 0.500 0.000
Pd 0.500 0.000 0.000
Pd 0.500 0.500 0.500

**V**: 304 Å³ per cell
**SG**: Fm-3m (225)
**E_form**: 0.623 eV/atom
**Total moment**: 0.458 μB per atom
**Density of states at the Fermi level**: 5.76 states/eV/f.u.
**Theoretical density**: 4.61 g cm⁻³

- theoretical density of number 2 (Na2CoPd)?
  4.61 g cm⁻³